# Sr2CuTcH6, optimized geometry, DFT PBE-GGA
data_Sr2CuTcH6
_chemical_formula_sum 'Sr2 Cu1 Tc1 H6'
_symmetry_space_group_name_H-M 'P 1'
_symmetry_Int_Tables_number 1
_cell_length_a 5.311
_cell_length_b 5.311
_cell_length_c 5.311
_cell_angle_alpha 60.00
_cell_angle_beta 60.00
_cell_angle_gamma 60.00
loop_
_symmetry_equiv_pos_as_xyz
'x,y,z'
loop_
_atom_site_label
_atom_site_fract_x
_atom_site_fract_y
_atom_site_fract_z
_atom_site_occupancy
Sr1 0.250 0.250 0.250 1
Sr2 0.750 0.750 0.750 1
Cu1 0.000 0.000 0.000 1
Tc1 0.500 0.500 0.500 1
H1 0.253 0.253 0.747 1
H2 0.253 0.747 0.253 1
H3 0.253 0.747 0.747 1
H4 0.747 0.253 0.253 1
H5 0.747 0.253 0.747 1
H6 0.747 0.747 0.253 1
# DFT total energy = -40.94 eV/cell
# crystal system = cubic
# space-group type = Fm-3m

***

# ScSnPd2, optimized geometry, DFT PBE-GGA
data_ScSnPd2
_chemical_formula_sum 'Sc1 Sn1 Pd2'
_symmetry_space_group_name_H-M 'P 1'
_symmetry_Int_Tables_number 1
_cell_length_a 4.461
_cell_length_b 4.461
_cell_length_c 3.631
_cell_angle_alpha 90.00
_cell_angle_beta 90.00
_cell_angle_gamma 90.00
loop_
_symmetry_equiv_pos_as_xyz
'x,y,z'
loop_
_atom_site_label
_atom_site_fract_x
_atom_site_fract_y
_atom_site_fract_z
_atom_site_occupancy
Sc1 0.000 0.000 0.000 1
Sn1 0.500 0.500 0.000 1
Pd1 0.000 0.500 0.500 1
Pd2 0.500 0.000 0.500 1
# DFT total energy = -23.74 eV/cell
# crystal system = tetragonal
# space-group type = P4/mmm

***

# CdGaFeRe, optimized geometry, DFT PBE-GGA
data_CdGaFeRe
_chemical_formula_sum 'Cd1 Ga1 Fe1 Re1'
_symmetry_space_group_name_H-M 'P 1'
_symmetry_Int_Tables_number 1
_cell_length_a 4.421
_cell_length_b 4.421
_cell_length_c 4.421
_cell_angle_alpha 60.00
_cell_angle_beta 60.00
_cell_angle_gamma 60.00
loop_
_symmetry_equiv_pos_as_xyz
'x,y,z'
loop_
_atom_site_label
_atom_site_fract_x
_atom_site_fract_y
_atom_site_fract_z
_atom_site_occupancy
Cd1 0.000 0.000 0.000 1
Ga1 0.500 0.500 0.500 1
Fe1 0.750 0.750 0.750 1
Re1 0.250 0.250 0.250 1
# crystal system = cubic
# relative energy among the computed polymorphs = 0.00 kJ/mol of atoms
# space-group type = F-43m

***

# BaHgTeO, optimized geometry, DFT PBE-GGA
data_BaHgTeO
_chemical_formula_sum 'Ba2 Hg2 Te2 O2'
_symmetry_space_group_name_H-M 'P 1'
_symmetry_Int_Tables_number 1
_cell_length_a 4.490
_cell_length_b 4.490
_cell_length_c 13.339
_cell_angle_alpha 90.00
_cell_angle_beta 90.00
_cell_angle_gamma 120.00
loop_
_symmetry_equiv_pos_as_xyz
'x,y,z'
loop_
_atom_site_label
_atom_site_fract_x
_atom_site_fract_y
_atom_site_fract_z
_atom_site_occupancy
Ba1 0.333 0.667 0.000 1
Ba2 0.667 0.333 0.500 1
Hg1 0.000 0.000 0.205 1
Hg2 0.000 0.000 0.705 1
Te1 0.333 0.667 0.293 1
Te2 0.667 0.333 0.793 1
O1 0.000 0.000 0.037 1
O2 0.000 0.000 0.537 1
# crystal system = hexagonal
# relative energy among the computed polymorphs = 0.00 kJ/mol of atoms
# space-group type = P6_3mc

***

# Y3Cu4Si2Ge2, optimized geometry, DFT PBE-GGA
data_Y3Cu4Si2Ge2
_chemical_formula_sum 'Y3 Cu4 Si2 Ge2'
_symmetry_space_group_name_H-M 'P 1'
_symmetry_Int_Tables_number 1
_cell_length_a 7.953
_cell_length_b 7.953
_cell_length_c 7.953
_cell_angle_alpha 149.74
_cell_angle_beta 130.82
_cell_angle_gamma 58.84
loop_
_symmetry_equiv_pos_as_xyz
'x,y,z'
loop_
_atom_site_label
_atom_site_fract_x
_atom_site_fract_y
_atom_site_fract_z
_atom_site_occupancy
Y1 0.000 0.000 0.000 1
Y2 0.370 0.870 0.500 1
Y3 0.630 0.130 0.500 1
Cu1 0.016 0.327 0.689 1
Cu2 0.363 0.673 0.689 1
Cu3 0.637 0.327 0.311 1
Cu4 0.984 0.673 0.311 1
Si1 0.217 0.217 0.000 1
Si2 0.783 0.783 0.000 1
Ge1 0.308 0.500 0.808 1
Ge2 0.692 0.500 0.192 1
# crystal system = orthorhombic
# relative energy among the computed polymorphs = 0.00 kJ/mol of atoms
# space-group type = Immm

***

# Tl2CoBi, optimized geometry, DFT PBE-GGA
data_Tl2CoBi
_chemical_formula_sum 'Tl2 Co1 Bi1'
_symmetry_space_group_name_H-M 'P 1'
_symmetry_Int_Tables_number 1
_cell_length_a 5.167
_cell_length_b 5.167
_cell_length_c 5.167
_cell_angle_alpha 60.00
_cell_angle_beta 60.00
_cell_angle_gamma 60.00
loop_
_symmetry_equiv_pos_as_xyz
'x,y,z'
loop_
_atom_site_label
_atom_site_fract_x
_atom_site_fract_y
_atom_site_fract_z
_atom_site_occupancy
Tl1 0.000 0.000 0.000 1
Tl2 0.250 0.250 0.250 1
Co1 0.750 0.750 0.750 1
Bi1 0.500 0.500 0.500 1
# DFT total energy = -13.58 eV/cell
# crystal system = cubic
# space-group type = F-43m

***

# Cu3Te2OsSe2, optimized geometry, DFT PBE-GGA
data_Cu3Te2OsSe2
_chemical_formula_sum 'Cu3 Te2 Os1 Se2'
_symmetry_space_group_name_H-M 'P 1'
_symmetry_Int_Tables_number 1
_cell_length_a 5.813
_cell_length_b 5.813
_cell_length_c 5.547
_cell_angle_alpha 90.00
_cell_angle_beta 90.00
_cell_angle_gamma 92.13
loop_
_symmetry_equiv_pos_as_xyz
'x,y,z'
loop_
_atom_site_label
_atom_site_fract_x
_atom_site_fract_y
_atom_site_fract_z
_atom_site_occupancy
Cu1 0.000 0.000 0.000 1
Cu2 0.000 0.500 0.513 1
Cu3 0.500 0.000 0.513 1
Te1 0.278 0.278 0.243 1
Te2 0.722 0.722 0.243 1
Os1 0.000 0.000 0.493 1
Se1 0.237 0.763 0.747 1
Se2 0.763 0.237 0.747 1
# DFT total energy = -35.19 eV/cell
# crystal system = orthorhombic
# space-group type = Cmm2

***

# AgBiSb2, optimized geometry, DFT PBE-GGA
data_AgBiSb2
_chemical_formula_sum 'Ag1 Bi1 Sb2'
_symmetry_space_group_name_H-M 'P 1'
_symmetry_Int_Tables_number 1
_cell_length_a 5.286
_cell_length_b 5.286
_cell_length_c 5.286
_cell_angle_alpha 60.00
_cell_angle_beta 60.00
_cell_angle_gamma 60.00
loop_
_symmetry_equiv_pos_as_xyz
'x,y,z'
loop_
_atom_site_label
_atom_site_fract_x
_atom_site_fract_y
_atom_site_fract_z
_atom_site_occupancy
Ag1 0.000 0.000 0.000 1
Bi1 0.750 0.750 0.750 1
Sb1 0.250 0.250 0.250 1
Sb2 0.500 0.500 0.500 1
# DFT total energy = -14.15 eV/cell
# crystal system = cubic
# space-group type = F-43m

***

# Nb4GeAsN2, optimized geometry, DFT PBE-GGA
data_Nb4GeAsN2
_chemical_formula_sum 'Nb4 Ge1 As1 N2'
_symmetry_space_group_name_H-M 'P 1'
_symmetry_Int_Tables_number 1
_cell_length_a 3.292
_cell_length_b 3.292
_cell_length_c 12.208
_cell_angle_alpha 90.00
_cell_angle_beta 90.00
_cell_angle_gamma 120.00
loop_
_symmetry_equiv_pos_as_xyz
'x,y,z'
loop_
_atom_site_label
_atom_site_fract_x
_atom_site_fract_y
_atom_site_fract_z
_atom_site_occupancy
Nb1 0.000 0.000 0.156 1
Nb2 0.000 0.000 0.844 1
Nb3 0.333 0.667 0.339 1
Nb4 0.333 0.667 0.661 1
Ge1 0.000 0.000 0.500 1
As1 0.333 0.667 0.000 1
N1 0.667 0.333 0.248 1
N2 0.667 0.333 0.752 1
# DFT total energy = -71.72 eV/cell
# crystal system = hexagonal
# space-group type = P-6m2

***

# YIn4GaIr, optimized geometry, DFT PBE-GGA
data_YIn4GaIr
_chemical_formula_sum 'Y1 In4 Ga1 Ir1'
_symmetry_space_group_name_H-M 'P 1'
_symmetry_Int_Tables_number 1
_cell_length_a 4.627
_cell_length_b 4.627
_cell_length_c 7.419
_cell_angle_alpha 90.00
_cell_angle_beta 90.00
_cell_angle_gamma 90.00
loop_
_symmetry_equiv_pos_as_xyz
'x,y,z'
loop_
_atom_site_label
_atom_site_fract_x
_atom_site_fract_y
_atom_site_fract_z
_atom_site_occupancy
Y1 0.000 0.000 0.000 1
In1 0.000 0.500 0.296 1
In2 0.000 0.500 0.704 1
In3 0.500 0.000 0.296 1
In4 0.500 0.000 0.704 1
Ga1 0.500 0.500 0.000 1
Ir1 0.000 0.000 0.500 1
# DFT total energy = -31.81 eV/cell
# crystal system = tetragonal
# space-group type = P4/mmm

***

# NbAgSO, optimized geometry, DFT PBE-GGA
data_NbAgSO
_chemical_formula_sum 'Nb4 Ag4 S4 O4'
_symmetry_space_group_name_H-M 'P 1'
_symmetry_Int_Tables_number 1
_cell_length_a 7.557
_cell_length_b 5.936
_cell_length_c 5.573
_cell_angle_alpha 90.00
_cell_angle_beta 104.32
_cell_angle_gamma 90.00
loop_
_symmetry_equiv_pos_as_xyz
'x,y,z'
loop_
_atom_site_label
_atom_site_fract_x
_atom_site_fract_y
_atom_site_fract_z
_atom_site_occupancy
Nb1 0.000 0.219 0.000 1
Nb2 0.000 0.781 0.500 1
Nb3 0.153 0.280 0.480 1
Nb4 0.153 0.720 0.980 1
Ag1 0.520 0.104 0.902 1
Ag2 0.520 0.896 0.402 1
Ag3 0.630 0.392 0.577 1
Ag4 0.630 0.608 0.077 1
S1 0.327 0.356 0.157 1
S2 0.327 0.644 0.657 1
S3 0.826 0.144 0.323 1
S4 0.826 0.856 0.823 1
O1 0.005 0.464 0.714 1
O2 0.005 0.536 0.214 1
O3 0.148 0.036 0.766 1
O4 0.148 0.964 0.266 1
# crystal system = monoclinic
# relative energy among the computed polymorphs = 0.00 kJ/mol of atoms
# space-group type = Pc

***

# PaSnNO, optimized geometry, DFT PBE-GGA
data_PaSnNO
_chemical_formula_sum 'Pa4 Sn4 N4 O4'
_symmetry_space_group_name_H-M 'P 1'
_symmetry_Int_Tables_number 1
_cell_length_a 5.922
_cell_length_b 8.167
_cell_length_c 5.652
_cell_angle_alpha 90.00
_cell_angle_beta 90.00
_cell_angle_gamma 90.00
loop_
_symmetry_equiv_pos_as_xyz
'x,y,z'
loop_
_atom_site_label
_atom_site_fract_x
_atom_site_fract_y
_atom_site_fract_z
_atom_site_occupancy
Pa1 0.014 0.141 0.000 1
Pa2 0.486 0.141 0.500 1
Pa3 0.514 0.859 0.000 1
Pa4 0.986 0.859 0.500 1
Sn1 0.070 0.651 0.001 1
Sn2 0.430 0.651 0.501 1
Sn3 0.570 0.349 0.001 1
Sn4 0.930 0.349 0.501 1
N1 0.250 0.001 0.250 1
N2 0.250 0.001 0.750 1
N3 0.750 0.999 0.250 1
N4 0.750 0.999 0.750 1
O1 0.096 0.403 0.999 1
O2 0.404 0.403 0.499 1
O3 0.596 0.597 0.999 1
O4 0.904 0.597 0.499 1
# crystal system = orthorhombic
# relative energy among the computed polymorphs = 0.41 kJ/mol of atoms
# space-group type = Pca2_1